(1)
! PBE PuMgBi, optimized geometry; values from VASP
! Calculated total energy ... -6.561 eV per atom
! Formation energy from the elements ... 41 meV per atom
! V ... 193.70 Å³/cell
! Total magnetization ... 12.884 Bohr magnetons per cell
&SYSTEM
  ibrav = 0, nat = 6, ntyp = 3
/
ATOMIC_SPECIES
Bi 208.98 Bi.upf
Mg 24.30 Mg.upf
Pu 244.00 Pu.upf
ATOMIC_POSITIONS angstrom
Bi 2.5358 2.4514 3.9541
Bi 5.3254 0.7591 1.2244
Mg 1.1386 5.2477 4.1130
Mg 3.9283 3.5550 1.3836
Pu 2.0571 0.7468 1.2046
Pu 5.8059 2.4626 3.9721
CELL_PARAMETERS angstrom
6.5383 0.0234 0.0377
-2.7897 5.5894 0.3136
0.9589 3.4080 5.4970

(2)
! PBE Pu2MgBi5, optimized geometry; values from VASP
! Calculated total energy ... -6.359 eV per atom
! Formation energy from the elements ... -151 meV per atom
! V ... 472.27 Å³/cell
! Total magnetization ... 23.556 Bohr magnetons per cell
&SYSTEM
  ibrav = 0, nat = 16, ntyp = 3
/
ATOMIC_SPECIES
Pu 244.00 Pu.upf
Mg 24.30 Mg.upf
Bi 208.98 Bi.upf
ATOMIC_POSITIONS angstrom
Pu 1.7436 4.5459 2.6971
Pu 1.7436 2.1473 17.5361
Pu 1.7436 5.4940 12.8137
Pu 1.7436 1.1993 7.4195
Mg 0.0000 3.3466 10.1166
Mg 0.0000 0.0000 0.0000
Bi 0.0000 0.0000 10.1166
Bi 0.0000 3.3466 0.0000
Bi 0.0000 6.2694 5.0256
Bi 0.0000 0.4238 15.2076
Bi 0.0000 3.7704 15.1422
Bi 0.0000 2.9228 5.0910
Bi 1.7436 4.5390 7.8359
Bi 1.7436 2.1542 12.3974
Bi 1.7436 5.5009 17.9525
Bi 1.7436 1.1924 2.2807
CELL_PARAMETERS angstrom
3.4873 0.0000 0.0000
0.0000 6.6933 0.0000
0.0000 0.0000 20.2332

(3)
! PBE PuMgBiSb, optimized geometry; values from VASP
! Calculated total energy ... -6.216 eV per atom
! V ... 107.89 Å³/cell
! Total magnetization ... 5.746 Bohr magnetons per cell
! E_form (uncorrected) ... -0.23 eV/atom
&SYSTEM
  ibrav = 0, nat = 4, ntyp = 4
/
ATOMIC_SPECIES
Sb 121.76 Sb.upf
Mg 24.30 Mg.upf
Bi 208.98 Bi.upf
Pu 244.00 Pu.upf
ATOMIC_POSITIONS angstrom
Sb 0.0000 0.0000 0.0000
Mg -9.5388 -2.2977 0.3229
Bi -6.3592 -1.5318 0.2153
Pu -3.1796 -0.7659 0.1076
CELL_PARAMETERS angstrom
-4.5817 -0.0069 -2.7500
-3.5107 -3.9729 0.6674
-4.6259 0.9163 2.5131

(4)
! PBE PuMg2SnBi, optimized geometry; values from VASP
! Calculated total energy ... -5.240 eV per atom
! Formation energy from the elements ... -159 meV per atom
! V ... 286.51 Å³/cell
! Total magnetization ... 11.904 Bohr magnetons per cell
&SYSTEM
  ibrav = 0, nat = 10, ntyp = 4
/
ATOMIC_SPECIES
Pu 244.00 Pu.upf
Mg 24.30 Mg.upf
Sn 118.71 Sn.upf
Bi 208.98 Bi.upf
ATOMIC_POSITIONS angstrom
Pu -1.3120 -8.5469 -5.2339
Pu -0.3590 -3.2428 0.2061
Mg 2.9354 -8.2705 -3.2504
Mg -4.6064 -3.5193 -1.7774
Mg 0.7586 -5.2884 -2.5609
Mg -2.4297 -6.5014 -2.4669
Sn 0.1189 -8.1840 -2.2863
Sn -1.7899 -3.6058 -2.7415
Bi 0.0000 0.0000 0.0000
Bi 2.6994 -3.6982 -0.8551
CELL_PARAMETERS angstrom
-1.2393 -1.5688 2.8725
-5.8305 -2.8245 -6.1901
5.3988 -7.3965 -1.7102

(5)
! PBE PuMgZnBi, optimized geometry; values from VASP
! Calculated total energy ... -5.379 eV per atom
! Formation energy from the elements ... -108 meV per atom
! V ... 99.84 Å³/cell
! Total magnetization ... 5.811 Bohr magnetons per cell
&SYSTEM
  ibrav = 0, nat = 4, ntyp = 4
/
ATOMIC_SPECIES
Mg 24.30 Mg.upf
Zn 65.41 Zn.upf
Bi 208.98 Bi.upf
Pu 244.00 Pu.upf
ATOMIC_POSITIONS angstrom
Mg 0.0000 0.0000 0.0000
Zn 7.8109 4.5096 3.1888
Bi 2.6036 1.5032 1.0629
Pu 5.2073 3.0064 2.1259
CELL_PARAMETERS angstrom
5.2073 0.0000 0.0000
2.6036 4.5096 0.0000
2.6036 1.5032 4.2517

(6)
! PBE RbMg2Bi, optimized geometry; values from VASP
! Calculated total energy ... -1.931 eV per atom
! Formation energy from the elements ... 79 meV per atom
! V ... 329.55 Å³/cell
! Offset from the most stable computed form ... 29 meV/atom
! Total magnetization ... 0.000 Bohr magnetons per cell
&SYSTEM
  ibrav = 0, nat = 8, ntyp = 3
/
ATOMIC_SPECIES
Mg 24.30 Mg.upf
Bi 208.98 Bi.upf
Rb 85.47 Rb.upf
ATOMIC_POSITIONS angstrom
Mg 0.5130 5.8057 6.0894
Mg 4.2747 -1.3333 5.8751
Mg 4.2481 4.3112 7.8675
Mg 6.8154 5.4367 15.4374
Bi 0.0000 0.0000 0.0000
Bi 2.2433 6.4391 8.4273
Rb 1.6497 1.8348 6.2943
Rb 5.6823 0.6711 9.2073
CELL_PARAMETERS angstrom
-1.7894 7.6028 5.5143
5.0887 -3.9333 7.0743
4.6262 3.4406 5.0461

(7)
! PBE RbMg3Bi, optimized geometry; values from VASP
! Calculated total energy ... -1.663 eV per atom
! Formation energy from the elements ... 264 meV per atom
! V ... 208.97 Å³/cell
! Offset from the most stable computed form ... 0 meV/atom
! Total magnetization ... 0.000 Bohr magnetons per cell
&SYSTEM
  ibrav = 0, nat = 5, ntyp = 3
/
ATOMIC_SPECIES
Mg 24.30 Mg.upf
Bi 208.98 Bi.upf
Rb 85.47 Rb.upf
ATOMIC_POSITIONS angstrom
Mg 0.0000 2.9671 0.0000
Mg 0.0000 0.0000 2.9671
Mg 2.9671 0.0000 0.0000
Bi 0.0000 0.0000 0.0000
Rb 2.9671 2.9671 2.9671
CELL_PARAMETERS angstrom
5.9342 0.0000 0.0000
0.0000 5.9342 0.0000
0.0000 0.0000 5.9342

(8)
! PBE Rb3Mg2Bi2, optimized geometry; values from VASP
! Calculated total energy ... -2.254 eV per atom
! Formation energy from the elements ... -275 meV per atom
! V ... 1200.24 Å³/cell
! Total magnetization ... 0.000 Bohr magnetons per cell
&SYSTEM
  ibrav = 0, nat = 28, ntyp = 3
/
ATOMIC_SPECIES
Rb 85.47 Rb.upf
Mg 24.30 Mg.upf
Bi 208.98 Bi.upf
ATOMIC_POSITIONS angstrom
Rb 0.7713 6.7828 1.7620
Rb 6.4741 3.7037 9.6605
Rb 6.4741 1.5396 6.1366
Rb 0.7713 8.9470 14.0351
Rb 6.4741 3.7037 14.0351
Rb 0.7713 6.7828 6.1366
Rb 0.7713 8.9470 9.6605
Rb 6.4741 1.5396 1.7620
Rb 2.3685 3.0044 3.9493
Rb 4.8769 7.4822 11.8478
Rb 4.8769 8.2477 3.9493
Rb 2.3685 2.2389 11.8478
Mg 4.4366 5.0544 1.3358
Mg 2.8087 5.4322 9.2344
Mg 2.8087 10.2977 6.5627
Mg 4.4366 0.1889 14.4613
Mg 2.8087 5.4322 14.4613
Mg 4.4366 5.0544 6.5627
Mg 4.4366 0.1889 9.2344
Mg 2.8087 10.2977 1.3358
Bi 2.9319 2.6216 0.0000
Bi 4.3134 7.8649 7.8986
Bi 4.3134 7.8649 0.0000
Bi 2.9319 2.6216 7.8986
Bi 5.7792 4.6128 3.9493
Bi 1.4662 5.8738 11.8478
Bi 1.4662 9.8561 3.9493
Bi 5.7792 0.6305 11.8478
CELL_PARAMETERS angstrom
7.2453 0.0000 0.0000
0.0000 10.4866 0.0000
0.0000 0.0000 15.7971

(9)
! PBE Rb2MgBi2, optimized geometry; values from VASP
! Calculated total energy ... -2.453 eV per atom
! Formation energy from the elements ... -195 meV per atom
! V ... 461.49 Å³/cell
! Offset from the most stable computed form ... 80 meV/atom
! Total magnetization ... 0.004 Bohr magnetons per cell
&SYSTEM
  ibrav = 0, nat = 10, ntyp = 3
/
ATOMIC_SPECIES
Rb 85.47 Rb.upf
Mg 24.30 Mg.upf
Bi 208.98 Bi.upf
ATOMIC_POSITIONS angstrom
Rb -3.4902 -6.1065 -1.1823
Rb -1.2356 -2.2303 0.9770
Rb 1.4184 -7.8413 -0.6402
Rb -6.1443 -0.4955 0.4350
Mg 1.9517 -5.3170 -3.6446
Mg 2.0737 -3.9458 -0.3603
Bi -4.4677 -4.2137 1.9251
Bi -0.2582 -4.1232 -2.1303
Bi 1.5554 -5.3357 2.1699
Bi -6.2813 -3.0012 -2.3752
CELL_PARAMETERS angstrom
-0.2438 -2.7424 -6.5687
4.2692 -6.5204 2.5638
-8.7513 0.9260 3.7996

(10)
! PBE RbMg6Bi4, optimized geometry; values from VASP
! Calculated total energy ... -2.623 eV per atom
! Formation energy from the elements ... -254 meV per atom
! V ... 363.33 Å³/cell
! Total magnetization ... 0.000 Bohr magnetons per cell
&SYSTEM
  ibrav = 0, nat = 11, ntyp = 3
/
ATOMIC_SPECIES
Rb 85.47 Rb.upf
Mg 24.30 Mg.upf
Bi 208.98 Bi.upf
ATOMIC_POSITIONS angstrom
Rb 0.0000 0.0000 0.0000
Mg -1.4121 -1.8256 7.3404
Mg -1.2865 -1.8113 10.8590
Mg 1.9882 -1.6577 3.6953
Mg -1.5376 -1.8399 3.8218
Mg 2.2393 -1.6291 10.7324
Mg 2.1137 -1.6434 7.2139
Bi 0.4427 0.0504 12.4062
Bi 0.2001 0.0228 5.6081
Bi 0.5016 -3.4917 8.9462
Bi 0.2590 -3.5193 2.1481
CELL_PARAMETERS angstrom
-3.3432 -3.7102 0.1344
3.7084 -3.3458 -0.1187
0.3365 3.5871 14.5386

(11)
! PBE Rb2MgBi2, optimized geometry; values from VASP
! Calculated total energy ... -2.211 eV per atom
! Formation energy from the elements ... 48 meV per atom
! V ... 246.24 Å³/cell
! Offset from the most stable computed form ... 323 meV/atom
! Total magnetization ... 0.000 Bohr magnetons per cell
&SYSTEM
  ibrav = 0, nat = 5, ntyp = 3
/
ATOMIC_SPECIES
Mg 24.30 Mg.upf
Bi 208.98 Bi.upf
Rb 85.47 Rb.upf
ATOMIC_POSITIONS angstrom
Mg 0.0000 0.0000 0.0000
Bi 1.2329 -6.9410 -3.3711
Bi 4.0472 -6.4118 -1.8898
Rb 1.7003 -3.2826 -2.0576
Rb 3.5798 -10.0702 -3.2034
CELL_PARAMETERS angstrom
-1.2493 -1.1637 -4.2278
4.3792 -0.1052 -1.2651
2.1503 -12.0839 0.2320

(12)
! PBE RbMg2Bi, optimized geometry; values from VASP
! Calculated total energy ... -1.960 eV per atom
! Formation energy from the elements ... 50 meV per atom
! V ... 128.16 Å³/cell
! Offset from the most stable computed form ... 0 meV/atom
! Total magnetization ... 0.000 Bohr magnetons per cell
&SYSTEM
  ibrav = 0, nat = 4, ntyp = 3
/
ATOMIC_SPECIES
Mg 24.30 Mg.upf
Bi 208.98 Bi.upf
Rb 85.47 Rb.upf
ATOMIC_POSITIONS angstrom
Mg -2.8737 1.3704 1.3689
Mg -8.6211 4.1113 4.1067
Bi -5.7474 2.7408 2.7378
Rb 0.0000 0.0000 0.0000
CELL_PARAMETERS angstrom
-5.6400 -0.3926 0.2512
-2.7071 1.1882 4.8257
-3.1477 4.6861 0.3988

Question: The lowest V belongs to which entry?
Answer: PuMgZnBi

Question: Among the records above, which one has the highest calculated total energy?
Answer: RbMg3Bi

Question: The highest V belongs to which entry?
Answer: Rb3Mg2Bi2